Here is VInAsRh2 after structural relaxation from Alexandria. Energies are from PBE.

```
VInAsRh2
1.0
4.506 0.000 0.000
0.000 5.139 0.000
0.000 0.000 4.506
V Rh As In
1 2 1 1
Cartesian
2.253 2.570 2.253
0.000 0.000 2.253
2.253 0.000 0.000
0.000 0.000 0.000
0.000 2.570 0.000
```

Properties
density of states at the Fermi level	10.01	states/eV/f.u.
formation energy from the elements	890	meV per atom
V	20.87	Å³/atom
SG	P4/mmm

Here is PaCuS6 after structural relaxation from Alexandria. Energies are from PBE.

```
PaCuS6
1.0
-2.341 -3.338 2.220
1.104 -4.126 -3.619
5.640 -1.969 2.041
S Pa Cu
6 1 1
Cartesian
4.563 -5.987 -0.162
-0.027 -6.408 0.332
4.430 -3.025 0.310
3.514 -7.688 -0.550
0.889 -1.745 1.192
-0.160 -3.446 0.804
2.201 -4.716 0.321
0.000 0.000 0.000
```

Properties
E	-0.3933	Ry per atom
density of states at the Fermi level	3.20	states/eV/f.u.
V	19.86	Å³/atom
SG	P-1

Question: Which value of density of states at the Fermi level does entry 1 give?
Answer: 10.01 states/eV/f.u.

Repeat the first record exactly.
Here is VInAsRh2 after structural relaxation from Alexandria. Energies are from PBE.

```
VInAsRh2
1.0
4.506 0.000 0.000
0.000 5.139 0.000
0.000 0.000 4.506
V Rh As In
1 2 1 1
Cartesian
2.253 2.570 2.253
0.000 0.000 2.253
2.253 0.000 0.000
0.000 0.000 0.000
0.000 2.570 0.000
```

Properties
density of states at the Fermi level	10.01	states/eV/f.u.
formation energy from the elements	890	meV per atom
V	20.87	Å³/atom
SG	P4/mmm